# ReOsPb | Alexandria | PBE | optimized geometry
# VASP energy: -8.385 eV/atom
# space group: P3m1, No. 156
# D(E_F): 0.57 states/eV per atom
# offset from the most stable computed form: 114 meV/atom
data_ReOsPb
_cell_length_a 2.953
_cell_length_b 2.953
_cell_length_c 7.266
_cell_angle_alpha 90.00
_cell_angle_beta 90.00
_cell_angle_gamma 120.00
_space_group_name_H-M_alt 'P 1'
_space_group_IT_number 1
loop_
_space_group_symop_operation_xyz
'x,y,z'
loop_
_atom_site_label
_atom_site_fract_x
_atom_site_fract_y
_atom_site_fract_z
_atom_site_occupancy
Pb1 0.667 0.333 0.333 1
Re1 0.333 0.667 0.698 1
Os1 0.000 0.000 0.969 1